Run P
Compound: VGa2O5
Source: Alexandria
Functional: PBE+U
Structure: optimized geometry

Computed properties:
theoretical density = 5408 kg/m3

Lattice parameters (Å, degrees): 10.0414 5.0517 6.9876 90.00 110.46 90.00
Closest atoms and distances in Å follow each position.
Space group C2/c (No. 15)
Asymmetric unit:
V 0.0000 0.0000 0.0000 (multiplicity 4)  6 O 1.90-2.02
Ga 0.1363 0.4973 0.2282 (multiplicity 8)  5 O 1.90-2.09
O 0.0000 0.2020 0.7500 (multiplicity 4)  2 V 2.02, 2 Ga 2.09
O 0.0884 0.3343 0.4546 (multiplicity 8)  1 V 1.98, 2 Ga 1.99
O 0.1811 0.1496 0.1466 (multiplicity 8)  2 Ga 1.90-1.95, 1 V 1.90


Run Q
Compound: VGa2O5
Source: Alexandria
Functional: PBE+U
Structure: optimized geometry

Computed properties:
theoretical density = 4828 kg/m3

Lattice parameters (Å, degrees): 3.5515 10.1088 10.3615 90.00 90.00 90.00
Closest atoms and distances in Å follow each position.
Space group Cmcm (No. 63)
Asymmetric unit:
V 0.0000 0.1692 0.2500 (multiplicity 4)  4 O 1.87-1.88
Ga 0.0000 0.1351 0.5509 (multiplicity 8)  4 O 1.91-1.96
O 0.0000 0.0434 0.1158 (multiplicity 8)  1 V 1.88, 2 Ga 1.93-1.96
O 0.0000 0.2735 0.7500 (multiplicity 4)  2 V 1.87
O 0.0000 0.3019 0.0821 (multiplicity 8)  2 Ga 1.91


Most stable of them? run Q.


Run P
Compound: V2GaO5
Source: Alexandria
Functional: PBE+U
Structure: optimized geometry

Computed properties:
theoretical density = 3978 kg/m3

Lattice parameters (Å, degrees): 5.2832 8.0264 8.3185 108.05 108.30 91.93
Closest atoms and distances in Å follow each position.
Space group P1 (No. 1)
Asymmetric unit:
V 0.0000 0.0000 0.0000 (multiplicity 1)  5 O 1.84-2.05
V 0.0375 0.3040 0.4050 (multiplicity 1)  5 O 1.93-2.05
V 0.2109 0.9732 0.4036 (multiplicity 1)  6 O 1.91-2.12
V 0.2737 0.7027 0.0822 (multiplicity 1)  4 O 1.77-1.88
V 0.3938 0.9639 0.7925 (multiplicity 1)  4 O 1.83-2.01
V 0.8580 0.2197 0.6879 (multiplicity 1)  5 O 1.94-2.11
Ga 0.2439 0.6315 0.4083 (multiplicity 1)  4 O 1.81-1.88
Ga 0.6722 0.3859 0.0418 (multiplicity 1)  4 O 1.81-1.91
Ga 0.7027 0.5709 0.7191 (multiplicity 1)  4 O 1.85-1.89
O 0.1067 0.1058 0.8488 (multiplicity 1)  3 V 1.92-2.02
O 0.1672 0.8265 0.5684 (multiplicity 1)  1 V 1.83, 1 Ga 1.87
O 0.1856 0.1299 0.2377 (multiplicity 1)  2 V 1.84-2.01
O 0.2867 0.8482 0.9470 (multiplicity 1)  3 V 1.87-2.05
O 0.3592 0.4850 0.0308 (multiplicity 1)  1 V 1.77, 1 Ga 1.85
O 0.3871 0.4802 0.5236 (multiplicity 1)  2 Ga 1.81-1.85
O 0.4438 0.7707 0.3328 (multiplicity 1)  1 Ga 1.88, 1 V 1.88
O 0.5050 0.0921 0.6324 (multiplicity 1)  3 V 1.94-2.12
O 0.6779 0.1368 0.9910 (multiplicity 1)  1 Ga 1.91, 2 V 1.95-2.05
O 0.7069 0.8169 0.8022 (multiplicity 1)  1 Ga 1.88, 2 V 2.00-2.06
O 0.7818 0.4398 0.8755 (multiplicity 1)  2 Ga 1.81-1.87
O 0.9252 0.4256 0.6177 (multiplicity 1)  1 Ga 1.89, 2 V 1.97-2.02
O 0.9278 0.4705 0.2721 (multiplicity 1)  2 Ga 1.86-1.87, 1 V 1.98
O 0.9362 0.1028 0.4629 (multiplicity 1)  3 V 1.91-1.99
O 0.9912 0.8068 0.1384 (multiplicity 1)  1 V 1.85


Run Q
Compound: V2GaO5
Source: Alexandria
Functional: PBE+U
Structure: optimized geometry

Computed properties:
theoretical density = 4167 kg/m3

Lattice parameters (Å, degrees): 8.0087 7.7435 7.5932 90.00 121.60 90.00
Closest atoms and distances in Å follow each position.
Space group C2/c (No. 15)
Asymmetric unit:
V 0.0000 0.0000 0.0000 (multiplicity 4)  6 O 1.88-2.10
V 0.2500 0.2500 0.0000 (multiplicity 4)  6 O 1.97-2.17
Ga 0.0000 0.3747 0.2500 (multiplicity 4)  4 O 1.82-1.83
O 0.0000 0.1151 0.7500 (multiplicity 4)  4 V 2.10-2.17
O 0.0437 0.2321 0.0852 (multiplicity 8)  1 Ga 1.83, 1 V 1.88
O 0.2141 0.4892 0.8994 (multiplicity 8)  1 Ga 1.82, 2 V 1.97-2.00


Most stable of them? run Q.


Run P
Compound: V2Ga2O7
Source: Alexandria
Functional: PBE+U
Structure: optimized geometry

Computed properties:
theoretical density = 4423 kg/m3

Lattice parameters (Å, degrees): 6.0886 8.6326 5.1592 90.00 101.93 90.00
Closest atoms and distances in Å follow each position.
Space group C2/m (No. 12)
Asymmetric unit:
V 0.0000 0.1869 0.0000 (multiplicity 4)  6 O 1.91-2.05
Ga 0.2480 0.0000 0.6053 (multiplicity 4)  3 O 1.73-1.91
O 0.0000 0.5000 0.5000 (multiplicity 2)  2 Ga 1.73
O 0.0550 0.0000 0.2470 (multiplicity 4)  2 Ga 1.97-2.14, 2 V 2.04
O 0.2345 0.3153 0.1885 (multiplicity 8)  2 V 1.91-2.05, 1 Ga 1.91


Run Q
Compound: V2Ga2O7
Source: Alexandria
Functional: PBE+U
Structure: optimized geometry

Computed properties:
theoretical density = 4250 kg/m3

Lattice parameters (Å, degrees): 6.5511 8.4559 10.3250 90.00 105.12 90.00
Closest atoms and distances in Å follow each position.
Space group C2/c (No. 15)
Asymmetric unit:
V 0.2402 0.0273 0.1962 (multiplicity 8)  4 O 1.76-1.95
Ga 0.0432 0.3227 0.4907 (multiplicity 8)  4 O 1.85-1.95
O 0.0000 0.0012 0.7500 (multiplicity 4)  2 V 1.82
O 0.0490 0.4709 0.6317 (multiplicity 8)  1 Ga 1.91, 1 V 1.95
O 0.1832 0.2062 0.1078 (multiplicity 8)  1 V 1.76, 1 Ga 1.85
O 0.2236 0.1563 0.5905 (multiplicity 8)  1 V 1.88, 2 Ga 1.93-1.95


Most stable of them? run Q.


Run P
Compound: Ga2WO6
Source: Alexandria
Functional: PBE+U
Structure: optimized geometry

Computed properties:
theoretical density = 7125 kg/m3

Lattice parameters (Å, degrees): 4.6483 4.6483 9.0453 90.00 90.00 90.00
Closest atoms and distances in Å follow each position.
Space group P4_2/mnm (No. 136)
Asymmetric unit:
Ga 0.0000 0.0000 0.1637 (multiplicity 4)  6 O 1.98-2.04
W 0.0000 0.0000 0.5000 (multiplicity 2)  6 O 1.95-1.97
O 0.1954 0.1954 0.3384 (multiplicity 8)  1 W 1.95, 2 Ga 2.00-2.04
O 0.2003 0.2003 0.0000 (multiplicity 4)  1 W 1.97, 2 Ga 1.98


Run Q
Compound: Ga2WO6
Source: Alexandria
Functional: PBE+U
Structure: optimized geometry

Computed properties:
theoretical density = 6062 kg/m3

Lattice parameters (Å, degrees): 14.2458 12.8033 5.0554 90.00 94.82 90.00
Closest atoms and distances in Å follow each position.
Space group C2/c (No. 15)
Asymmetric unit:
Ga 0.0000 0.1534 0.2500 (multiplicity 4)  6 O 1.98-2.10
Ga 0.0000 0.3004 0.7500 (multiplicity 4)  6 O 1.91-2.09
Ga 0.1316 0.0731 0.7842 (multiplicity 8)  4 O 1.84-1.89
W 0.1686 0.3209 0.3821 (multiplicity 8)  5 O 1.84-1.99
O 0.0791 0.1840 0.5813 (multiplicity 8)  3 Ga 1.87-2.09
O 0.0806 0.2731 0.0977 (multiplicity 8)  1 W 1.93, 2 Ga 2.05-2.10
O 0.0827 0.3899 0.5748 (multiplicity 8)  1 W 1.85, 1 Ga 1.91
O 0.0892 0.0519 0.1145 (multiplicity 8)  3 Ga 1.84-1.98
O 0.2374 0.4235 0.2324 (multiplicity 8)  1 W 1.84, 1 Ga 1.88
O 0.2472 0.1988 0.2973 (multiplicity 8)  2 W 1.95-1.99


Most stable of them? run P.